Entry from Alexandria: an optimized crystal structure of Cs2GeICl6 (PBE).

abc: 7.891 7.891 7.891
angles: 117.64 117.64 94.15
Positions (direct):
Cs 0.250 0.750 0.500
Cs 0.750 0.250 0.500
Ge 0.000 0.000 0.000
I 0.500 0.500 0.000
Cl 0.203 0.203 0.406
Cl 0.203 0.797 0.000
Cl 0.224 0.224 0.000
Cl 0.776 0.776 0.000
Cl 0.797 0.203 0.000
Cl 0.797 0.797 0.594

Summary:
**Crystal system**: tetragonal
**Density of states at the Fermi level**: 0.1 states/eV per cell
**Uncorrected formation energy**: -1.13 eV per atom
**DFT total energy**: -30.21 eV/cell
**Magnetization**: 0.100 μB/atom